No. 1
Ho12MgIn3: optimized geometry, PBE.

Computed properties:
**E_tot**: -4.236 eV per atom

Lattice parameters (Å, degrees): 4.8362 4.8362 19.3825 90.00 90.00 90.00
Last column: nearest neighbours and their distance in Å.
Atoms (fractional coordinates):
Ho 0.0000 0.5000 0.3759  4 In 3.41, 8 Ho 3.41-3.42
Ho 0.5000 0.5000 0.7488  8 Ho 3.41-3.42, 4 In 3.42
Ho 0.5000 0.0000 0.6241  8 Ho 3.41-3.42, 4 In 3.41
Ho 0.5000 0.0000 0.1269  8 Ho 3.41-3.45, 2 In 3.42, 2 Mg 3.45
Ho 0.5000 0.0000 0.3759  8 Ho 3.41-3.42, 4 In 3.41
Ho 0.5000 0.5000 0.0000  4 Mg 3.42, 8 Ho 3.45
Ho 0.5000 0.5000 0.2512  8 Ho 3.41-3.42, 4 In 3.42
Ho 0.5000 0.0000 0.8731  8 Ho 3.41-3.45, 2 In 3.42, 2 Mg 3.45
Ho 0.5000 0.5000 0.5000  8 Ho 3.41, 4 In 3.42
Ho 0.0000 0.5000 0.1269  8 Ho 3.41-3.45, 2 In 3.42, 2 Mg 3.45
Ho 0.0000 0.5000 0.8731  8 Ho 3.41-3.45, 2 In 3.42, 2 Mg 3.45
Ho 0.0000 0.5000 0.6241  4 In 3.41, 8 Ho 3.41-3.42
In 0.0000 0.0000 0.5000  12 Ho 3.41-3.42
In 0.0000 0.0000 0.2515  12 Ho 3.41-3.42
In 0.0000 0.0000 0.7485  12 Ho 3.41-3.42
Mg 0.0000 0.0000 0.0000  12 Ho 3.42-3.45

---

No. 2
HoMgIn: optimized geometry, PBE.

Computed properties:
**E_tot**: -2.836 eV per atom

Lattice parameters (Å, degrees): 9.2177 9.2177 9.2177 20.70 20.70 20.70
Last column: nearest neighbours and their distance in Å.
Atoms (fractional coordinates):
Ho 0.9207 0.9207 0.9207  1 In 3.24, 6 Ho 3.31, 3 Mg 3.36
Mg 0.1520 0.1520 0.1520  1 In 3.01, 6 Mg 3.31, 3 Ho 3.36
In 0.0405 0.0405 0.0405  1 Mg 3.01, 1 Ho 3.24, 6 In 3.31

---

No. 3
HoMg8In6: optimized geometry, PBE.

Computed properties:
**E_tot**: -2.268 eV per atom

Lattice parameters (Å, degrees): 8.6264 8.6264 7.9030 56.92 56.92 60.00
Last column: nearest neighbours and their distance in Å.
Atoms (fractional coordinates):
In 0.7211 0.4005 0.8208  7 Mg 2.96-3.18, 1 Ho 3.13
In 0.9424 0.2789 0.1792  7 Mg 2.96-3.18, 1 Ho 3.13
In 0.4005 0.0576 0.8208  7 Mg 2.96-3.18, 1 Ho 3.13
In 0.0576 0.7211 0.8208  7 Mg 2.96-3.18, 1 Ho 3.13
In 0.2789 0.5995 0.1792  7 Mg 2.96-3.18, 1 Ho 3.13
In 0.5995 0.9424 0.1792  7 Mg 2.96-3.18, 1 Ho 3.13
Mg 0.3357 0.3357 0.9930  6 In 3.05-3.06
Mg 0.1153 0.4442 0.6608  5 In 2.96-3.18
Mg 0.4442 0.7797 0.6608  5 In 2.96-3.18
Mg 0.6643 0.6643 0.0070  6 In 3.05-3.06
Mg 0.7797 0.1153 0.6608  5 In 2.96-3.18
Mg 0.8847 0.5558 0.3392  5 In 2.96-3.18
Mg 0.5558 0.2203 0.3392  5 In 2.96-3.18
Mg 0.2203 0.8847 0.3392  5 In 2.96-3.18
Ho 0.0000 0.0000 0.0000  6 In 3.13

---

no.,spin magnetization (μB/f.u.)
1,0.0
2,0.0
3,0.0